SiTcMo2: optimized geometry, GGA-PBE.

Cell lengths 5.118, 5.118, 5.118 Å; angles 144.22, 131.33, 61.86 degrees
Atoms (fractional coordinates):
Mo (0.748, 0.248, 0.500)
Si (0.497, 0.497, 0.000)
Mo (0.001, 0.001, 0.000)
Tc (0.255, 0.755, 0.500)

SG   Imm2
DFT total energy   -38.2 eV/cell